Computed, not measured: a relaxed structure of NdGdNi2B2N2 at the PBE level of DFT.

## Properties
* calculated volume: 97 Å³ per cell
* raw total energy: -7.333 eV per atom

a b c (Å): 3.5803 3.5803 7.5479
angles (deg): 90.00 90.00 90.00
Fractional coordinates of all 8 atoms:
Ni  0.0000  0.5000  0.4981
Ni  0.5000  0.0000  0.4981
N  0.5000  0.5000  0.1529
B  0.0000  0.0000  0.6569
Nd  0.5000  0.5000  0.8289
Gd  0.0000  0.0000  0.1692
N  0.0000  0.0000  0.8506
B  0.5000  0.5000  0.3453